Entry 1:
VASP calculation (meta-GGA SCAN) on a crystal of LaLuIn2 relaxed with PBEsol.

Results
Energy   -41.901 eV/atom
ΔE_f   -0.595 eV per atom

a = 5.324 Å, b = 5.324 Å, c = 5.324 Å
α = 60.00°, β = 60.00°, γ = 60.00°
Element x y z (fractional)
In1 0.750 0.750 0.750
In2 0.250 0.250 0.250
Lu1 0.500 0.500 0.500
La1 0.000 0.000 0.000

=====

Entry 2:
VASP calculation (meta-GGA SCAN) on a crystal of La2MgIn relaxed with PBEsol.

Results
Energy   -31.543 eV/atom
ΔE_f   -0.400 eV per atom

a = 3.869 Å, b = 5.459 Å, c = 6.390 Å
α = 115.16°, β = 107.62°, γ = 90.00°
Element x y z (fractional)
La1 0.010 0.009 0.020
La2 0.242 0.743 0.484
In1 0.775 0.275 0.549
Mg1 0.474 0.473 0.947

=====

Entry 3:
VASP calculation (meta-GGA SCAN) on a crystal of La2MgIn relaxed with PBEsol.

Results
Energy   -31.561 eV/atom
ΔE_f   -0.419 eV per atom

a = 3.981 Å, b = 5.450 Å, c = 5.450 Å
α = 90.00°, β = 90.00°, γ = 90.00°
Element x y z (fractional)
Mg1 0.500 0.500 0.500
La1 0.000 0.500 0.000
La2 0.000 0.000 0.500
In1 0.500 0.000 0.000

=====

Entry 4:
VASP calculation (meta-GGA SCAN) on a crystal of La2MgIn relaxed with PBEsol.

Results
Energy   -31.554 eV/atom
ΔE_f   -0.411 eV per atom

a = 3.576 Å, b = 4.588 Å, c = 7.123 Å
α = 90.00°, β = 90.00°, γ = 90.00°
Element x y z (fractional)
La1 0.000 0.000 0.263
La2 0.000 0.000 0.737
Mg1 0.500 0.500 0.000
In1 0.500 0.500 0.500

=====

One value per record, in order, for density of states at the Fermi level: 2.17, 3.69, 4.50, 3.42 states/eV/cell.